# 1
VASP calculation (PBE) on crystalline AlInS2 at its relaxed geometry.

Results
N(E_F) ... 0.00 states/eV/atom
Raw formation energy ... -0.801 eV/atom

Cell lengths 6.1057, 6.1329, 7.0230 Å; angles 77.93, 64.25, 61.11 degrees
Positions (direct):
Al  0.0000  0.0000  0.0000
Al  0.2714  0.2746  0.9999
In  0.5014  0.5788  0.3737
In  0.8770  0.5755  0.6258
S  0.0669  0.0715  0.2714
S  0.3381  0.0711  0.7284
S  0.6034  0.3383  0.0000
S  0.9334  0.6707  0.0001

=====

# 2
VASP calculation (PBE) on crystalline YHfTeN2 at its relaxed geometry.

Results
N(E_F) ... 0.56 states/eV/atom
Raw formation energy ... -0.377 eV/atom
Offset from the most stable computed form ... 0 meV per atom

Cell lengths 4.2453, 4.2453, 5.6724 Å; angles 90.00, 90.00, 90.00 degrees
Positions (direct):
Y  0.0000  0.0000  0.0000
Hf  0.5000  0.5000  0.5000
Te  0.5000  0.5000  0.0000
N  0.0000  0.5000  0.5000
N  0.5000  0.0000  0.5000

=====

# 3
VASP calculation (PBE) on crystalline Er2TcO at its relaxed geometry.

Results
N(E_F) ... 0.63 states/eV/atom
Raw formation energy ... -0.786 eV/atom

Cell lengths 8.4089, 8.4089, 8.4089 Å; angles 22.03, 22.03, 22.03 degrees
Positions (direct):
Er  0.1072  0.1072  0.1072
Er  0.8928  0.8928  0.8928
Tc  0.0000  0.0000  0.0000
O  0.5000  0.5000  0.5000

=====

# 4
VASP calculation (PBE) on crystalline CsK2AuS at its relaxed geometry.

Results
Raw formation energy ... -0.643 eV/atom

Cell lengths 5.9933, 5.9933, 6.7504 Å; angles 90.00, 90.00, 90.00 degrees
Positions (direct):
Cs  0.0000  0.0000  0.0000
K  0.0000  0.5000  0.5000
K  0.5000  0.0000  0.5000
Au  0.5000  0.5000  0.0000
S  0.0000  0.0000  0.5000

=====

# 5
VASP calculation (PBE) on crystalline NaPuAu2O6 at its relaxed geometry.

Results
N(E_F) ... 0.95 states/eV/atom
Raw formation energy ... -1.189 eV/atom

Cell lengths 7.8470, 7.8470, 5.6852 Å; angles 99.38, 99.38, 80.10 degrees
Positions (direct):
Na  0.0888  0.9112  0.7500
Na  0.9112  0.0888  0.2500
Pu  0.2641  0.7359  0.2500
Pu  0.7359  0.2641  0.7500
Au  0.2391  0.2588  0.7373
Au  0.2588  0.2391  0.2373
Au  0.7412  0.7609  0.7627
Au  0.7609  0.7412  0.2627
O  0.0039  0.7915  0.3533
O  0.1732  0.6577  0.9441
O  0.2085  0.9961  0.1467
O  0.2953  0.4829  0.3239
O  0.3423  0.8268  0.5559
O  0.4829  0.2953  0.8239
O  0.5171  0.7047  0.1761
O  0.6577  0.1732  0.4441
O  0.7047  0.5171  0.6761
O  0.7915  0.0039  0.8533
O  0.8268  0.3423  0.0559
O  0.9961  0.2085  0.6467

=====

# 6
VASP calculation (PBE) on crystalline Zn2CuSb at its relaxed geometry.

Results
N(E_F) ... 0.33 states/eV/atom
Raw formation energy ... 0.183 eV/atom

Cell lengths 7.9967, 7.9967, 7.9967 Å; angles 24.00, 24.00, 24.00 degrees
Positions (direct):
Zn  0.0000  0.0000  0.0000
Zn  0.2553  0.2553  0.2553
Cu  0.7404  0.7404  0.7404
Sb  0.4899  0.4899  0.4899